# TbZrNb

Crystalline TbZrNb at its relaxed geometry (GGA-PBE, Alexandria via LeMat-Bulk).

Properties
- energy relative to the lowest polymorph listed for this composition (kJ per mole of atoms) = 16.7
- total magnetic moment (Bohr magnetons per cell) = 0.001
- E_form (eV per atom) = 0.348

a b c (Å): 4.728 4.728 8.673
angles (deg): 74.18 74.18 60.00
Fractional positions:
1 Nb 0.849 0.849 0.453
2 Tb 0.713 0.713 0.860
3 Zr 0.556 0.556 0.332
4 Zr 0.444 0.444 0.668
5 Tb 0.287 0.287 0.140
6 Nb 0.151 0.151 0.547